[1]
Crystalline TaBe4Ni at its relaxed geometry. Source: Alexandria, functional PBE-GGA.

It has space group F-43m (No. 216), with a = 6.2429 Å, b = 6.2429 Å, c = 6.2429 Å, α = 90.00°, β = 90.00° and γ = 90.00°. The asymmetric unit holds Ta at (0.0000, 0.0000, 0.0000), Be at (0.1276, 0.1276, 0.6276) and Ni at (0.2500, 0.2500, 0.2500).

---

[2]
Crystalline TaBeNi14 at its relaxed geometry. Source: Alexandria, functional PBE-GGA.

It has space group P4/mmm (No. 123), with a = 5.0275 Å, b = 5.0275 Å, c = 7.0507 Å, α = 90.00°, β = 90.00° and γ = 90.00°. The asymmetric unit holds Ta at (0.0000, 0.0000, 0.0000), Be at (0.5000, 0.5000, 0.0000), Ni at (0.0000, 0.0000, 0.5000), Ni at (0.0000, 0.5000, 0.0000), Ni at (0.0000, 0.5000, 0.5000), Ni at (0.2557, 0.2557, 0.2518) and Ni at (0.5000, 0.5000, 0.5000).

---

[3]
Crystalline TaBe2Ni2 at its relaxed geometry. Source: Alexandria, functional PBE-GGA.

Its polymorph energy (0 for the lowest one) is 0 meV per atom.

It has space group P4/mbm (No. 127), with a = 6.5808 Å, b = 6.5808 Å, c = 2.5567 Å, α = 90.00°, β = 90.00° and γ = 90.00°. The asymmetric unit holds Ta at (0.0000, 0.0000, 0.0000), Be at (0.1172, 0.3828, 0.0000) and Ni at (0.1740, 0.6740, 0.5000).

---

[4]
Crystalline TaBe2Ni3 at its relaxed geometry. Source: Alexandria, functional PBE-GGA.

It has space group P4/mmm (No. 123), with a = 2.6743 Å, b = 2.6743 Å, c = 9.0414 Å, α = 90.00°, β = 90.00° and γ = 90.00°. The asymmetric unit holds Ta at (0.0000, 0.0000, 0.0000), Be at (0.0000, 0.0000, 0.3551), Ni at (0.5000, 0.5000, 0.2149) and Ni at (0.5000, 0.5000, 0.5000).

---

[5]
Crystalline TaBeNi at its relaxed geometry. Source: Alexandria, functional PBE-GGA.

Its polymorph energy (0 for the lowest one) is 135 meV per atom.

It has space group P-6m2 (No. 187), with a = 4.0049 Å, b = 4.0049 Å, c = 2.6793 Å, α = 90.00°, β = 90.00° and γ = 120.00°. The asymmetric unit holds Ta at (0.0000, 0.0000, 0.0000), Be at (0.6667, 0.3333, 0.5000) and Ni at (0.3333, 0.6667, 0.5000).

---

[6]
Crystalline TaBe2Ni at its relaxed geometry. Source: Alexandria, functional PBE-GGA.

Its polymorph energy (0 for the lowest one) is 52 meV per atom.

It has space group P4mm (No. 99), with a = 2.7322 Å, b = 2.7322 Å, c = 6.0455 Å, α = 90.00°, β = 90.00° and γ = 90.00°. The asymmetric unit holds Ta at (0.0000, 0.0000, 0.0000), Be at (0.0000, 0.0000, 0.4876), Be at (0.5000, 0.5000, 0.2961) and Ni at (0.5000, 0.5000, 0.6867).

---

[7]
Crystalline TaBe2Ni at its relaxed geometry. Source: Alexandria, functional PBE-GGA.

Its polymorph energy (0 for the lowest one) is 658 meV per atom.

It has space group I-42d (No. 122), with a = 3.7187 Å, b = 3.7187 Å, c = 14.7953 Å, α = 90.00°, β = 90.00° and γ = 90.00°. The asymmetric unit holds Ta at (0.0000, 0.0000, 0.0000), Be at (0.0748, 0.2500, 0.6250) and Ni at (0.0000, 0.0000, 0.5000).

---

[8]
Crystalline TaBe2Ni at its relaxed geometry. Source: Alexandria, functional PBE-GGA.

Its polymorph energy (0 for the lowest one) is 116 meV per atom.

It has space group Amm2 (No. 38), with a = 3.5794 Å, b = 2.7744 Å, c = 9.1330 Å, α = 90.00°, β = 90.00° and γ = 90.00°. The asymmetric unit holds Ta at (0.0000, 0.0000, 0.0000), Be at (0.0000, 0.0000, 0.7338), Be at (0.5000, 0.0000, 0.6162) and Ni at (0.5000, 0.0000, 0.3138).

---

[9]
Crystalline Ta2Be3Ni at its relaxed geometry. Source: Alexandria, functional PBE-GGA.

It has space group P6_3/mmc (No. 194), with a = 4.6816 Å, b = 4.6816 Å, c = 7.4637 Å, α = 90.00°, β = 90.00° and γ = 120.00°. The asymmetric unit holds Ta at (0.3333, 0.6667, 0.0645), Be at (0.1682, 0.3365, 0.7500) and Ni at (0.0000, 0.0000, 0.0000).

---

[10]
Crystalline Ta6Be15Ni8 at its relaxed geometry. Source: Alexandria, functional PBE-GGA.

It has space group Fm-3m (No. 225), with a = 10.6896 Å, b = 10.6896 Å, c = 10.6896 Å, α = 90.00°, β = 90.00° and γ = 90.00°. The asymmetric unit holds Ta at (0.0000, 0.0000, 0.2033), Be at (0.0000, 0.0000, 0.5000), Be at (0.0000, 0.2500, 0.2500), Be at (0.1734, 0.1734, 0.1734) and Ni at (0.1227, 0.1227, 0.3773).

---

[11]
Crystalline Ta3BeNi at its relaxed geometry. Source: Alexandria, functional PBE-GGA.

Its polymorph energy (0 for the lowest one) is 0 meV per atom.

It has space group Pm-3m (No. 221), with a = 4.3409 Å, b = 4.3409 Å, c = 4.3409 Å, α = 90.00°, β = 90.00° and γ = 90.00°. The asymmetric unit holds Ta at (0.0000, 0.0000, 0.5000), Be at (0.0000, 0.0000, 0.0000) and Ni at (0.5000, 0.5000, 0.5000).

---

[12]
Crystalline Ta3Be8Ni at its relaxed geometry. Source: Alexandria, functional PBE-GGA.

It has space group R3m (No. 160, hexagonal axes), with a = 4.5113 Å, b = 4.5113 Å, c = 22.1008 Å, α = 90.00°, β = 90.00° and γ = 120.00°. The asymmetric unit holds Ta at (0.0000, 0.0000, 0.0000), Ta at (0.0000, 0.0000, 0.1269), Ta at (0.0000, 0.0000, 0.5073), Be at (0.0000, 0.0000, 0.3154), Be at (0.0000, 0.0000, 0.8158), Be at (0.0014, 0.5007, 0.5651), Be at (0.0073, 0.5037, 0.0642) and Ni at (0.0000, 0.0000, 0.6276).

---

[13]
Crystalline TaBe17Ni at its relaxed geometry. Source: Alexandria, functional PBE-GGA.

It has space group R3m (No. 160, hexagonal axes), with a = 7.2787 Å, b = 7.2787 Å, c = 10.6779 Å, α = 90.00°, β = 90.00° and γ = 120.00°. The asymmetric unit holds Ta at (0.0000, 0.0000, 0.0000), Be at (0.0000, 0.0000, 0.5542), Be at (0.0000, 0.0000, 0.7581), Be at (0.0014, 0.5007, 0.8148), Be at (0.0340, 0.3597, 0.3279), Be at (0.1717, 0.3434, 0.8375), Be at (0.1736, 0.3473, 0.5006) and Ni at (0.0000, 0.0000, 0.3027).

---

[14]
Crystalline TaBe2Ni at its relaxed geometry. Source: Alexandria, functional PBE-GGA.

Its polymorph energy (0 for the lowest one) is 92 meV per atom.

It has space group Cm (No. 8), with a = 6.4532 Å, b = 3.7294 Å, c = 4.4049 Å, α = 90.00°, β = 119.37° and γ = 90.00°. The asymmetric unit holds Ta at (0.0000, 0.0000, 0.0000), Be at (0.2873, 0.5000, 0.3612), Be at (0.4902, 0.0000, 0.4693) and Ni at (0.2183, 0.0000, 0.6527).

---

[15]
Crystalline TaBe2Ni at its relaxed geometry. Source: Alexandria, functional PBE-GGA.

Its polymorph energy (0 for the lowest one) is 478 meV per atom.

It has space group R3m (No. 160, hexagonal axes), with a = 2.6713 Å, b = 2.6713 Å, c = 23.9270 Å, α = 90.00°, β = 90.00° and γ = 120.00°. The asymmetric unit holds Ta at (0.0000, 0.0000, 0.0000), Be at (0.0000, 0.0000, 0.2404), Be at (0.0000, 0.0000, 0.4988) and Ni at (0.0000, 0.0000, 0.7597).

---

[16]
Crystalline TaBe2Ni at its relaxed geometry. Source: Alexandria, functional PBE-GGA.

Its polymorph energy (0 for the lowest one) is 415 meV per atom.

It has space group R-3m (No. 166, hexagonal axes), with a = 2.6995 Å, b = 2.6995 Å, c = 23.2522 Å, α = 90.00°, β = 90.00° and γ = 120.00°. The asymmetric unit holds Ta at (0.0000, 0.0000, 0.0000), Be at (0.0000, 0.0000, 0.2380) and Ni at (0.0000, 0.0000, 0.5000).

---

[17]
Crystalline TaBeNi at its relaxed geometry. Source: Alexandria, functional PBE-GGA.

Its polymorph energy (0 for the lowest one) is 0 meV per atom.

It has space group P2_1/m (No. 11), with a = 6.2113 Å, b = 3.2785 Å, c = 10.6647 Å, α = 90.00°, β = 90.23° and γ = 90.00°. The asymmetric unit holds Ta at (0.0239, 0.2500, 0.2110), Ta at (0.3506, 0.7500, 0.5786), Ta at (0.4707, 0.7500, 0.8839), Be at (0.2328, 0.2500, 0.4181), Be at (0.2342, 0.7500, 0.0818), Be at (0.2729, 0.2500, 0.7494), Ni at (0.0059, 0.2500, 0.5933), Ni at (0.1401, 0.2500, 0.9557) and Ni at (0.3580, 0.7500, 0.2940).

---

[18]
Crystalline TaBeNi at its relaxed geometry. Source: Alexandria, functional PBE-GGA.

Its polymorph energy (0 for the lowest one) is 334 meV per atom.

It has space group Cmcm (No. 63), with a = 4.5789 Å, b = 6.7032 Å, c = 4.8719 Å, α = 90.00°, β = 90.00° and γ = 90.00°. The asymmetric unit holds Ta at (0.0000, 0.1453, 0.2500), Be at (0.0000, 0.2194, 0.7500) and Ni at (0.0000, 0.5000, 0.0000).

---

[19]
Crystalline TaBe3Ni at its relaxed geometry. Source: Alexandria, functional PBE-GGA.

Its polymorph energy (0 for the lowest one) is 0 meV per atom.

It has space group Pm-3m (No. 221), with a = 3.8497 Å, b = 3.8497 Å, c = 3.8497 Å, α = 90.00°, β = 90.00° and γ = 90.00°. The asymmetric unit holds Ta at (0.0000, 0.0000, 0.0000), Be at (0.0000, 0.5000, 0.5000) and Ni at (0.5000, 0.5000, 0.5000).

---

[20]
Crystalline TaTiBeNi2 at its relaxed geometry. Source: Alexandria, functional PBE-GGA.

It has space group P4/mmm (No. 123), with a = 4.4504 Å, b = 4.4504 Å, c = 4.4194 Å, α = 90.00°, β = 90.00° and γ = 90.00°. The asymmetric unit holds Ta at (0.0000, 0.0000, 0.0000), Ti at (0.5000, 0.5000, 0.5000), Be at (0.0000, 0.0000, 0.5000) and Ni at (0.0000, 0.5000, 0.0000).

---

DFT total energy, respectively: -5.52 -6.13 -6.44 -6.47 -7.34 -6.44 -5.83 -6.37 -7.04 -6.39 -8.34 -6.13 -4.39 -6.40 -6.01 -6.07 -7.47 -7.14 -5.50 -5.82 eV per atom.
E_form, respectively: -9.1 -9.3 -25.3 -35.1 -21.0 -15.9 42.5 -9.7 -25.1 -40.1 64.6 -19.0 -12.6 -12.1 25.1 19.1 -34.1 -1.8 24.9 114.3 kJ per mole of atoms.